(1)
A plane-wave DFT calculation with PBE was carried out for crystalline Gd3Y5H12 at its relaxed geometry.

a b c (Å): 11.3884 11.3884 11.3884
angles (deg): 109.47 109.47 109.47
Last column: nearest neighbours and their distance in Å.
Element x y z (fractional)
Y 0.6250 0.8750 0.2500  4 H 2.21
H 0.5878 0.9365 0.6590  2 Y 2.21-2.22, 2 Gd 2.28-2.43, 1 H 2.38
Y 0.0000 0.5000 0.0000  6 H 2.22
H 0.6513 0.0635 0.2225  2 Y 2.21-2.22, 2 Gd 2.28-2.43, 1 H 2.38
H 0.2225 0.6590 0.0712  2 Y 2.21-2.22, 2 Gd 2.28-2.43, 1 H 2.38
Gd 0.2500 0.1250 0.3750  8 H 2.28-2.43
H 0.4365 0.7775 0.8487  2 Y 2.21-2.22, 2 Gd 2.28-2.43, 1 H 2.38
H 0.1590 0.0878 0.9365  2 Y 2.21-2.22, 2 Gd 2.28-2.43, 1 H 2.38
Gd 0.7500 0.8750 0.6250  8 H 2.28-2.43
Gd 0.3750 0.7500 0.6250  8 H 2.28-2.43
H 0.6590 0.4365 0.5878  2 Y 2.21-2.22, 2 Gd 2.28-2.43, 1 H 2.38
H 0.7775 0.3410 0.9288  2 Y 2.21-2.22, 2 Gd 2.28-2.43, 1 H 2.38
Gd 0.8750 0.1250 0.2500  8 H 2.28-2.43
Gd 0.1250 0.8750 0.7500  8 H 2.28-2.43
H 0.3410 0.7775 0.4288  2 Y 2.21-2.22, 2 Gd 2.28-2.43, 1 H 2.38
H 0.4122 0.3487 0.5712  2 Y 2.21-2.22, 2 Gd 2.28-2.43, 1 H 2.38
H 0.9365 0.3487 0.2775  2 Y 2.21-2.22, 2 Gd 2.28-2.43, 1 H 2.38
H 0.8410 0.9288 0.2775  2 Y 2.21-2.22, 2 Gd 2.28-2.43, 1 H 2.38
H 0.6590 0.2225 0.5712  2 Y 2.21-2.22, 2 Gd 2.28-2.43, 1 H 2.38
H 0.5635 0.2225 0.1513  2 Y 2.21-2.22, 2 Gd 2.28-2.43, 1 H 2.38
H 0.2225 0.5635 0.6513  2 Y 2.21-2.22, 2 Gd 2.28-2.43, 1 H 2.38
H 0.9122 0.8410 0.5635  2 Y 2.21-2.22, 2 Gd 2.28-2.43, 1 H 2.38
Y 0.2500 0.8750 0.1250  4 H 2.21
H 0.7225 0.5712 0.1590  2 Y 2.21-2.22, 2 Gd 2.28-2.43, 1 H 2.38
H 0.0635 0.6513 0.7225  2 Y 2.21-2.22, 2 Gd 2.28-2.43, 1 H 2.38
Gd 0.3750 0.6250 0.2500  8 H 2.28-2.43
H 0.7775 0.4365 0.3487  2 Y 2.21-2.22, 2 Gd 2.28-2.43, 1 H 2.38
H 0.3487 0.9365 0.7775  2 Y 2.21-2.22, 2 Gd 2.28-2.43, 1 H 2.38
H 0.3410 0.5635 0.4122  2 Y 2.21-2.22, 2 Gd 2.28-2.43, 1 H 2.38
Y 0.0000 0.0000 0.5000  6 H 2.22
H 0.1590 0.0712 0.7225  2 Y 2.21-2.22, 2 Gd 2.28-2.43, 1 H 2.38
Y 0.5000 0.5000 0.0000  6 H 2.22
H 0.7225 0.1513 0.0635  2 Y 2.21-2.22, 2 Gd 2.28-2.43, 1 H 2.38
H 0.2775 0.4288 0.8410  2 Y 2.21-2.22, 2 Gd 2.28-2.43, 1 H 2.38
Y 0.1250 0.7500 0.3750  4 H 2.21
H 0.5878 0.6513 0.4288  2 Y 2.21-2.22, 2 Gd 2.28-2.43, 1 H 2.38
Y 0.7500 0.6250 0.3750  4 H 2.21
H 0.0878 0.1590 0.4365  2 Y 2.21-2.22, 2 Gd 2.28-2.43, 1 H 2.38
Gd 0.2500 0.6250 0.8750  8 H 2.28-2.43
Y 0.3750 0.1250 0.7500  4 H 2.21
H 0.1513 0.4288 0.0878  2 Y 2.21-2.22, 2 Gd 2.28-2.43, 1 H 2.38
H 0.9365 0.5878 0.1590  2 Y 2.21-2.22, 2 Gd 2.28-2.43, 1 H 2.38
Y 0.7500 0.1250 0.8750  4 H 2.21
H 0.8487 0.5712 0.9122  2 Y 2.21-2.22, 2 Gd 2.28-2.43, 1 H 2.38
H 0.9288 0.8410 0.7775  2 Y 2.21-2.22, 2 Gd 2.28-2.43, 1 H 2.38
H 0.3487 0.4122 0.0712  2 Y 2.21-2.22, 2 Gd 2.28-2.43, 1 H 2.38
H 0.5635 0.3410 0.9122  2 Y 2.21-2.22, 2 Gd 2.28-2.43, 1 H 2.38
H 0.4288 0.2775 0.3410  2 Y 2.21-2.22, 2 Gd 2.28-2.43, 1 H 2.38
H 0.8410 0.9122 0.0635  2 Y 2.21-2.22, 2 Gd 2.28-2.43, 1 H 2.38
Gd 0.6250 0.3750 0.7500  8 H 2.28-2.43
Y 0.2500 0.3750 0.6250  4 H 2.21
H 0.8487 0.2775 0.4365  2 Y 2.21-2.22, 2 Gd 2.28-2.43, 1 H 2.38
Y 0.8750 0.2500 0.6250  4 H 2.21
H 0.6513 0.5878 0.9288  2 Y 2.21-2.22, 2 Gd 2.28-2.43, 1 H 2.38
Y 0.3750 0.2500 0.1250  4 H 2.21
H 0.9122 0.0712 0.8487  2 Y 2.21-2.22, 2 Gd 2.28-2.43, 1 H 2.38
H 0.5712 0.7225 0.6590  2 Y 2.21-2.22, 2 Gd 2.28-2.43, 1 H 2.38
H 0.0712 0.1590 0.2225  2 Y 2.21-2.22, 2 Gd 2.28-2.43, 1 H 2.38
Y 0.1250 0.3750 0.2500  4 H 2.21
H 0.1513 0.7225 0.5635  2 Y 2.21-2.22, 2 Gd 2.28-2.43, 1 H 2.38
Y 0.6250 0.7500 0.8750  4 H 2.21
H 0.2775 0.8487 0.9365  2 Y 2.21-2.22, 2 Gd 2.28-2.43, 1 H 2.38
H 0.0712 0.9122 0.3487  2 Y 2.21-2.22, 2 Gd 2.28-2.43, 1 H 2.38
H 0.4288 0.1513 0.5878  2 Y 2.21-2.22, 2 Gd 2.28-2.43, 1 H 2.38
Gd 0.7500 0.3750 0.1250  8 H 2.28-2.43
H 0.4365 0.6590 0.0878  2 Y 2.21-2.22, 2 Gd 2.28-2.43, 1 H 2.38
H 0.9288 0.0878 0.6513  2 Y 2.21-2.22, 2 Gd 2.28-2.43, 1 H 2.38
H 0.4122 0.0635 0.3410  2 Y 2.21-2.22, 2 Gd 2.28-2.43, 1 H 2.38
Y 0.5000 0.0000 0.0000  6 H 2.22
Y 0.0000 0.0000 0.0000  6 H 2.22
H 0.0635 0.4122 0.8410  2 Y 2.21-2.22, 2 Gd 2.28-2.43, 1 H 2.38
Y 0.8750 0.6250 0.7500  4 H 2.21
Gd 0.1250 0.2500 0.8750  8 H 2.28-2.43
H 0.0878 0.9288 0.1513  2 Y 2.21-2.22, 2 Gd 2.28-2.43, 1 H 2.38
H 0.5712 0.8487 0.4122  2 Y 2.21-2.22, 2 Gd 2.28-2.43, 1 H 2.38
Y 0.5000 0.5000 0.5000  6 H 2.22
Y 0.5000 0.0000 0.5000  6 H 2.22
Gd 0.6250 0.2500 0.3750  8 H 2.28-2.43
Gd 0.8750 0.7500 0.1250  8 H 2.28-2.43
Y 0.0000 0.5000 0.5000  6 H 2.22

The value obtained for the total energy is -6.226 eV/atom. The value obtained for the magnetic moment is 23.24 μB/f.u.

=====

(2)
A plane-wave DFT calculation with PBE was carried out for crystalline GdYH4 at its relaxed geometry.

a b c (Å): 3.6975 3.6975 5.2414
angles (deg): 90.00 90.00 90.00
Last column: nearest neighbours and their distance in Å.
Element x y z (fractional)
H 0.5000 0.0000 0.7456  2 Y 2.25, 2 Gd 2.28
Y 0.5000 0.5000 0.5000  8 H 2.25
H 0.5000 0.0000 0.2544  2 Y 2.25, 2 Gd 2.28
Gd 0.0000 0.0000 0.0000  8 H 2.28
H 0.0000 0.5000 0.2544  2 Y 2.25, 2 Gd 2.28
H 0.0000 0.5000 0.7456  2 Y 2.25, 2 Gd 2.28

The value obtained for the total energy is -6.366 eV/atom. The value obtained for the magnetic moment is 7.08 μB/f.u.